No. 1
## CrSb (PBE-GGA)

Data for crystalline CrSb at its relaxed geometry.

Unit cell a=5.6415 b=5.6415 c=4.0732 alpha=90.16 beta=90.16 gamma=38.41
With the nearest neighbours (Å) after each atom.
Fractional coordinates of all 4 atoms:
Cr 0.0956 0.0956 0.2507  7 Sb 2.79-3.11, 2 Cr 2.88
Cr 0.9044 0.9044 0.7493  7 Sb 2.79-3.11, 2 Cr 2.88
Sb 0.3614 0.3614 0.2488  7 Cr 2.79-3.11
Sb 0.6386 0.6386 0.7512  7 Cr 2.79-3.11

Properties
As for the formation energy (no corrections): 0.269 eV/atom. Its raw total energy is -6.6042 eV/atom. The calculation puts the density of states at the Fermi level at 2.4 states/eV/cell.

No. 2
## V3CdB (PBE-GGA)

Data for crystalline V3CdB at its relaxed geometry.

Unit cell a=4.1116 b=4.1116 c=4.1116 alpha=90.00 beta=90.00 gamma=90.00
With the nearest neighbours (Å) after each atom.
Fractional coordinates of all 5 atoms:
V 0.0000 0.0000 0.5000  2 B 2.06
V 0.0000 0.5000 0.0000  2 B 2.06
V 0.5000 0.0000 0.0000  2 B 2.06
Cd 0.5000 0.5000 0.5000  12 V 2.91
B 0.0000 0.0000 0.0000  6 V 2.06

Properties
As for the formation energy: 0.3 eV/f.u. As for the distance to the lowest polymorph of the same formula: 0.0000 eV/atom. Its raw total energy is -6.9244 eV/atom. The calculation puts the density of states at the Fermi level at 3.3 states/eV/cell.